[1]
An optimized crystal structure of ZrMnAgPb2, computed with GGA-PBE.

Cell and atoms, written as extended XYZ:
```
5
Lattice="5.306 0.000 0.000 0.000 5.372 0.000 0.000 0.000 5.306" Properties=species:S:1:pos:R:3 pbc="T T T"
Pb 0.000 0.000 2.653
Pb 2.653 0.000 0.000
Mn 2.653 2.686 2.653
Zr 0.000 2.686 0.000
Ag 0.000 0.000 0.000
```

## Properties
The crystal system is tetragonal. The final energy comes out at -22.84 eV per cell. The formation energy comes out at 1030 meV/atom. The symmetry is P4/mmm (123).



[2]
An optimized crystal structure of YMgAgHg, computed with GGA-PBE.

Cell and atoms, written as extended XYZ:
```
4
Lattice="5.008 0.000 0.000 2.504 4.337 0.000 2.504 1.446 4.089" Properties=species:S:1:pos:R:3 pbc="T T T"
Y 7.512 4.337 3.067
Mg 2.504 1.446 1.022
Hg 5.008 2.891 2.045
Ag 0.000 0.000 0.000
```

## Properties
The crystal system is cubic. The final energy comes out at -12.84 eV per cell. The formation energy comes out at -407 meV/atom. The symmetry is F-43m (216).



[3]
An optimized crystal structure of CdFe2Si, computed with GGA-PBE.

Cell and atoms, written as extended XYZ:
```
4
Lattice="-2.353 -2.814 -2.012 -4.161 0.426 -0.078 -1.929 1.049 -3.561" Properties=species:S:1:pos:R:3 pbc="T T T"
Si 0.000 0.000 0.000
Fe -2.111 -0.335 -1.413
Fe -6.332 -1.004 -4.238
Cd -4.222 -0.669 -2.826
```

## Properties
The crystal system is cubic. The final energy comes out at -22.11 eV per cell. The calculation puts the energy relative to the lowest polymorph listed for this composition at 300 meV per atom. The formation energy (no corrections) is 0.289 eV/atom. The symmetry is Fm-3m (225).



[4]
An optimized crystal structure of NaCoCu2Sb, computed with GGA-PBE.

Cell and atoms, written as extended XYZ:
```
5
Lattice="-0.918 -4.357 -1.908 5.183 0.008 -2.513 1.903 -2.117 3.919" Properties=species:S:1:pos:R:3 pbc="T T T"
Sb 0.000 0.000 0.000
Co 3.084 -3.233 -0.251
Cu 0.952 -1.059 1.959
Cu -0.459 -2.178 -0.954
Na 2.592 0.004 -1.256
```

## Properties
The crystal system is tetragonal. The final energy comes out at -15.60 eV per cell. The formation energy (no corrections) is 1.028 eV/atom. The symmetry is P4/mmm (123).



[5]
An optimized crystal structure of YMnTe, computed with GGA-PBE.

Cell and atoms, written as extended XYZ:
```
3
Lattice="5.759 0.003 -0.004 4.542 3.543 0.008 1.217 0.411 3.516" Properties=species:S:1:pos:R:3 pbc="T T T"
Mn 10.204 3.512 0.043
Te 4.379 1.503 2.294
Y 7.237 2.489 1.189
```

## Properties
The crystal system is tetragonal. The final energy comes out at -19.78 eV per cell. The formation energy (no corrections) is -0.336 eV/atom. The symmetry is I4mm (107).



[6]
An optimized crystal structure of HfNb2H, computed with GGA-PBE.

Cell and atoms, written as extended XYZ:
```
4
Lattice="2.952 0.000 0.000 1.476 2.556 0.000 1.476 0.852 8.330" Properties=species:S:1:pos:R:3 pbc="T T T"
H 2.952 1.704 4.165
Nb 1.476 0.852 5.495
Nb 4.427 2.556 2.835
Hf 0.000 0.000 0.000
```

## Properties
The crystal system is trigonal. The final energy comes out at -32.45 eV per cell. The calculation puts the energy relative to the lowest polymorph listed for this composition at 318 meV per atom. The symmetry is R-3m (166).



[7]
An optimized crystal structure of Hg4H3Pb4, computed with GGA-PBE.

Cell and atoms, written as extended XYZ:
```
11
Lattice="3.402 0.000 0.000 -1.701 8.335 0.000 0.000 0.000 9.080" Properties=species:S:1:pos:R:3 pbc="T T T"
Hg 1.701 3.032 4.540
Hg 1.701 1.923 0.000
Hg 0.000 1.007 6.409
Hg 0.000 1.007 2.671
H 0.000 5.846 3.260
H 0.000 5.846 5.820
H 0.000 4.643 0.000
Pb 1.701 4.615 7.340
Pb 1.701 4.615 1.739
Pb 1.701 6.671 4.540
Pb 1.701 7.449 0.000
```

## Properties
The crystal system is orthorhombic. The final energy comes out at -23.04 eV per cell. The symmetry is Amm2 (38).



[8]
An optimized crystal structure of Sm3Tm2Sc3, computed with GGA-PBE.

Cell and atoms, written as extended XYZ:
```
8
Lattice="4.791 0.000 0.000 0.000 4.939 0.000 -2.396 -2.470 9.868" Properties=species:S:1:pos:R:3 pbc="T T T"
Sm 2.396 2.470 2.421
Sm 0.000 0.000 7.447
Sm 2.396 0.000 0.000
Tm 2.396 0.000 4.901
Tm 0.000 2.470 4.967
Sc 0.000 0.000 2.474
Sc 0.000 2.470 0.000
Sc 2.396 2.470 7.394
```

## Properties
The crystal system is orthorhombic. The final energy comes out at -41.68 eV per cell. The formation energy comes out at 51 meV/atom. The symmetry is Immm (71).



[9]
An optimized crystal structure of PuGa3CuAu, computed with GGA-PBE.

Cell and atoms, written as extended XYZ:
```
12
Lattice="5.982 0.000 0.000 0.000 5.802 0.000 0.000 -2.901 6.650" Properties=species:S:1:pos:R:3 pbc="T T T"
Pu 4.486 0.000 4.006
Pu 1.495 2.901 2.645
Ga 1.495 0.000 1.682
Ga 0.000 1.643 0.000
Ga 2.991 4.159 0.000
Ga 2.991 1.643 0.000
Ga 0.000 4.159 0.000
Ga 4.486 2.901 4.968
Cu 1.495 2.901 5.462
Cu 4.486 0.000 1.188
Au 1.495 0.000 4.387
Au 4.486 2.901 2.263
```

## Properties
The crystal system is orthorhombic. The final energy comes out at -62.88 eV per cell. The formation energy comes out at -109 meV/atom. The symmetry is Cmcm (63).



[10]
An optimized crystal structure of CdHg2Os, computed with GGA-PBE.

Cell and atoms, written as extended XYZ:
```
4
Lattice="-3.989 -0.340 1.084 -0.507 -3.141 -2.849 1.055 -2.872 2.979" Properties=species:S:1:pos:R:3 pbc="T T T"
Os -2.248 -1.741 -0.882
Hg 0.000 0.000 0.000
Hg 0.274 -3.007 0.065
Cd -1.467 -1.606 2.032
```

## Properties
The crystal system is tetragonal. The final energy comes out at -10.14 eV per cell. The formation energy comes out at 653 meV/atom. The symmetry is P4/mmm (123).



[11]
An optimized crystal structure of MgBRu2Rh, computed with GGA-PBE.

Cell and atoms, written as extended XYZ:
```
5
Lattice="-1.733 3.502 -1.246 -3.598 -1.925 -0.406 -0.937 0.927 3.909" Properties=species:S:1:pos:R:3 pbc="T T T"
Ru -1.799 -0.963 -0.203
Ru -0.867 1.751 -0.623
Mg -3.134 1.252 1.129
B 0.000 0.000 0.000
Rh -0.468 0.463 1.954
```

## Properties
The crystal system is tetragonal. The final energy comes out at -34.66 eV per cell. The formation energy comes out at -98 meV/atom. The symmetry is P4/mmm (123).



[12]
An optimized crystal structure of Tb2TmOs, computed with GGA-PBE.

Cell and atoms, written as extended XYZ:
```
8
Lattice="-0.924 -0.835 3.800 1.065 -5.321 -3.016 8.695 0.482 2.220" Properties=species:S:1:pos:R:3 pbc="T T T"
Tb 5.347 -3.823 0.459
Tb 3.488 -1.851 2.545
Tb 8.555 -3.646 1.278
Tb 0.280 -2.028 1.726
Tm 2.223 -5.162 1.509
Tm 6.613 -0.512 1.496
Os 6.348 -2.813 3.030
Os 2.487 -2.861 -0.025
```

## Properties
The crystal system is orthorhombic. The final energy comes out at -51.86 eV per cell. The formation energy comes out at -242 meV/atom. The calculation puts the energy relative to the lowest polymorph listed for this composition at 18 meV per atom. The symmetry is Cmcm (63).



[13]
An optimized crystal structure of CsNpCl2F8, computed with GGA-PBE.

Cell and atoms, written as extended XYZ:
```
12
Lattice="6.234 0.000 0.000 -3.117 5.398 0.000 0.000 0.000 8.246" Properties=species:S:1:pos:R:3 pbc="T T T"
Cs 0.000 0.000 4.123
Np 0.000 0.000 0.000
Cl 3.117 1.799 2.771
Cl 0.000 3.599 5.475
F 3.117 3.760 6.982
F 1.419 0.819 6.982
F 4.815 0.819 6.982
F 0.000 1.639 1.264
F 1.698 4.579 1.264
F -1.698 4.579 1.264
F 3.117 1.799 4.455
F 0.000 3.599 3.791
```

## Properties
The crystal system is trigonal. The final energy comes out at -59.06 eV per cell. The formation energy (no corrections) is -2.217 eV/atom. The symmetry is P-3m1 (164).



[14]
An optimized crystal structure of Pm4CuAg2, computed with GGA-PBE.

Cell and atoms, written as extended XYZ:
```
7
Lattice="5.156 0.000 0.000 0.000 5.995 -2.022 0.000 -0.043 6.327" Properties=species:S:1:pos:R:3 pbc="T T T"
Ag 0.000 4.501 0.045
Ag 0.000 1.452 4.260
Cu 2.578 2.976 2.153
Pm 0.000 4.441 3.212
Pm 0.000 1.511 1.093
Pm 2.578 -0.021 3.163
Pm 2.578 2.998 -1.011
```

## Properties
The crystal system is orthorhombic. The final energy comes out at -29.32 eV per cell. The formation energy comes out at -74 meV/atom. The symmetry is Cmmm (65).



[15]
An optimized crystal structure of Na2Cd6Au, computed with GGA-PBE.

Cell and atoms, written as extended XYZ:
```
9
Lattice="-1.007 -4.612 0.125 3.008 -0.833 -6.483 4.239 -0.761 6.058" Properties=species:S:1:pos:R:3 pbc="T T T"
Na 4.314 -3.402 -1.554
Na 1.926 -2.805 1.254
Cd 1.518 -5.195 -1.029
Cd 3.523 -0.679 3.314
Cd 4.722 -1.012 0.730
Cd 0.324 -2.535 -1.721
Cd 2.717 -5.527 -3.613
Cd 1.677 -2.910 -4.637
Au 0.000 0.000 0.000
```

## Properties
The crystal system is orthorhombic. The final energy comes out at -12.44 eV per cell. The formation energy comes out at -115 meV/atom. The calculation puts the energy relative to the lowest polymorph listed for this composition at 18 meV per atom. The symmetry is Cmmm (65).



[16]
An optimized crystal structure of NbTcSe4, computed with GGA-PBE.

Cell and atoms, written as extended XYZ:
```
12
Lattice="5.625 0.000 0.000 0.000 7.175 -0.717 0.000 -3.505 6.330" Properties=species:S:1:pos:R:3 pbc="T T T"
Nb 0.000 1.835 2.806
Nb 2.813 -1.752 3.165
Tc 2.813 3.588 -0.359
Tc 0.000 0.000 0.000
Se 1.097 5.264 0.511
Se 1.716 1.677 0.870
Se 4.513 3.739 1.505
Se 1.700 3.519 3.749
Se 3.925 0.151 1.864
Se 1.113 -0.069 4.108
Se 3.909 1.993 4.743
Se 4.529 -1.594 5.102
```

## Properties
The crystal system is monoclinic. The final energy comes out at -74.40 eV per cell. The calculation puts the energy relative to the lowest polymorph listed for this composition at 166 meV per atom. The formation energy (no corrections) is -0.471 eV/atom. The symmetry is P2_1/c (14).



[17]
An optimized crystal structure of AcLuMgZn, computed with GGA-PBE.

Cell and atoms, written as extended XYZ:
```
4
Lattice="5.410 0.000 0.000 2.705 4.685 0.000 2.705 1.562 4.417" Properties=species:S:1:pos:R:3 pbc="T T T"
Mg 5.410 3.123 2.208
Ac 8.114 4.685 3.313
Lu 2.705 1.562 1.104
Zn 0.000 0.000 0.000
```

## Properties
The crystal system is cubic. The final energy comes out at -11.87 eV per cell. The formation energy comes out at -94 meV/atom. The symmetry is F-43m (216).



[18]
An optimized crystal structure of NaCu3Sn, computed with GGA-PBE.

Cell and atoms, written as extended XYZ:
```
5
Lattice="4.646 0.000 0.000 0.000 4.646 0.000 0.000 0.000 4.646" Properties=species:S:1:pos:R:3 pbc="T T T"
Na 0.000 0.000 0.000
Sn 2.323 2.323 2.323
Cu 0.000 2.323 0.000
Cu 0.000 0.000 2.323
Cu 2.323 0.000 0.000
```

## Properties
The crystal system is cubic. The final energy comes out at -12.60 eV per cell. The formation energy comes out at 1002 meV/atom. The symmetry is Pm-3m (221).



[19]
An optimized crystal structure of KCaIr2, computed with GGA-PBE.

Cell and atoms, written as extended XYZ:
```
4
Lattice="-1.937 -0.944 1.939 -0.867 -0.307 -2.749 4.171 -9.156 -0.294" Properties=species:S:1:pos:R:3 pbc="T T T"
Ca 1.726 -7.493 -0.625
Ir 4.082 -8.961 -0.287
Ir 2.174 -4.773 -0.153
K -0.359 -2.915 -0.478
```

## Properties
The crystal system is orthorhombic. The final energy comes out at -18.94 eV per cell. The formation energy comes out at 471 meV/atom. The calculation puts the energy relative to the lowest polymorph listed for this composition at 267 meV per atom. The symmetry is Cmmm (65).



[20]
An optimized crystal structure of Li2Th3Cd9, computed with GGA-PBE.

Cell and atoms, written as extended XYZ:
```
14
Lattice="4.719 0.000 1.204 1.836 8.168 2.652 0.274 0.187 8.776" Properties=species:S:1:pos:R:3 pbc="T T T"
Li 3.158 2.871 7.319
Li 3.670 5.485 5.313
Th 0.000 0.000 0.000
Th 3.982 2.360 4.091
Th 2.847 5.996 8.541
Cd 1.055 4.178 5.714
Cd 5.055 8.296 9.735
Cd 1.774 0.060 2.897
Cd 4.618 6.064 11.448
Cd 2.211 2.292 1.184
Cd 5.740 7.066 7.048
Cd 1.088 1.289 5.584
Cd 5.071 3.647 9.672
Cd 1.758 4.709 2.960
```

## Properties
The crystal system is orthorhombic. The final energy comes out at -36.34 eV per cell. The formation energy comes out at -144 meV/atom. The symmetry is Immm (71).